No. 1
Entry from the Alexandria database: a geometry-optimized K2SiSnC structure (GGA-PBE).

- ΔE_f (raw) (eV per atom) = 0.489
- N(E_F) (states/eV per cell) = 4.6

a = 6.545 Å, b = 6.545 Å, c = 3.403 Å
α = 90.00°, β = 90.00°, γ = 90.00°
Fractional coordinates of all 5 atoms:
K  0.000  0.500  0.000
K  0.500  0.000  0.000
Si  0.000  0.000  0.500
Sn  0.500  0.500  0.500
C  0.000  0.000  0.000


No. 2
Entry from the Alexandria database: a geometry-optimized TbSnRh4 structure (GGA-PBE).

- energy relative to the elements (meV/atom) = -488
- N(E_F) (states/eV per cell) = 4.9
- relative energy among the computed polymorphs (kcal/mol of atoms) = 0.00

a = 5.294 Å, b = 5.294 Å, c = 5.294 Å
α = 60.00°, β = 60.00°, γ = 60.00°
Fractional coordinates of all 6 atoms:
Tb  0.000  0.000  0.000
Sn  0.750  0.750  0.750
Rh  0.376  0.376  0.376
Rh  0.376  0.376  0.872
Rh  0.376  0.872  0.376
Rh  0.872  0.376  0.376


No. 3
Entry from the Alexandria database: a geometry-optimized LiErSc2 structure (GGA-PBE).

- energy relative to the elements (meV/atom) = 223
- N(E_F) (states/eV per cell) = 6.7
- relative energy among the computed polymorphs (kcal/mol of atoms) = 2.50

a = 5.231 Å, b = 5.231 Å, c = 3.648 Å
α = 90.00°, β = 90.00°, γ = 90.00°
Fractional coordinates of all 4 atoms:
Li  0.000  0.000  0.000
Er  0.500  0.500  0.000
Sc  0.000  0.500  0.500
Sc  0.500  0.000  0.500